Computed, not measured: a relaxed structure of TlCrIr3 at the PBE level of DFT.

Results
energy above the most stable polymorph in this dataset = 0 meV per atom
formation energy = 1.18 eV per atom

Cell lengths 4.5601, 4.5601, 4.5601 Å; angles 90.00, 90.00, 90.00 degrees
Closest atoms and distances in Å follow each position.
Space group Pm-3m (No. 221)
One atom of each set of equivalent atoms:
1 Tl 0.0000 0.0000 0.0000  12 Ir 3.22
2 Cr 0.5000 0.5000 0.5000  6 Ir 2.28
3 Ir 0.0000 0.5000 0.5000  2 Cr 2.28


Computed, not measured: a relaxed structure of NaFePt2 at the PBE level of DFT.

Results
formation energy = 0.21 eV per atom

Cell lengths 7.2661, 7.2661, 5.3954 Å; angles 90.00, 90.00, 90.00 degrees
Closest atoms and distances in Å follow each position.
Space group I-42d (No. 122)
One atom of each set of equivalent atoms:
1 Na 0.0000 0.0000 0.0000  2 Fe 2.70, 4 Pt 2.89
2 Fe 0.0000 0.0000 0.5000  4 Pt 2.45, 2 Na 2.70
3 Pt 0.2054 0.2500 0.6250  2 Fe 2.45


Computed, not measured: a relaxed structure of LiTa2Pt at the PBE level of DFT.

Results
formation energy = -0.10 eV per atom

Cell lengths 5.5383, 8.3860, 2.7832 Å; angles 90.00, 90.00, 90.00 degrees
Closest atoms and distances in Å follow each position.
Space group Cmmm (No. 65)
One atom of each set of equivalent atoms:
1 Li 0.0000 0.0000 0.0000  2 Pt 2.77, 2 Li 2.78, 8 Ta 2.87
2 Ta 0.2500 0.2500 0.5000  4 Ta 2.77-2.78, 4 Li 2.87, 4 Pt 2.87
3 Pt 0.0000 0.5000 0.0000  2 Li 2.77, 2 Pt 2.78, 8 Ta 2.87


Computed, not measured: a relaxed structure of Cs2CuICl6 at the PBE level of DFT.

Results
raw formation energy = -1.04 eV/atom

Cell lengths 7.7886, 7.7886, 11.1965 Å; angles 90.00, 90.00, 90.00 degrees
Closest atoms and distances in Å follow each position.
Space group I4/mmm (No. 139)
One atom of each set of equivalent atoms:
1 Cs 0.0000 0.5000 0.2500  12 Cl 3.90-3.96
2 Cu 0.0000 0.0000 0.0000  4 Cl 2.22
3 I 0.0000 0.0000 0.5000  2 Cl 2.54
4 Cl 0.0000 0.0000 0.2732  1 I 2.54
5 Cl 0.2019 0.2019 0.0000  1 Cu 2.22


Computed, not measured: a relaxed structure of TcBIr3 at the PBE level of DFT.

Results
energy above the most stable polymorph in this dataset = 2201 meV per atom
formation energy = 2.53 eV per atom

Cell lengths 4.7019, 4.7019, 4.7019 Å; angles 90.00, 90.00, 90.00 degrees
Closest atoms and distances in Å follow each position.
Space group Pm-3m (No. 221)
One atom of each set of equivalent atoms:
1 Tc 0.0000 0.0000 0.0000  6 Ir 2.35
2 B 0.5000 0.5000 0.5000  12 Ir 3.32
3 Ir 0.0000 0.0000 0.5000  2 Tc 2.35


Computed, not measured: a relaxed structure of Cs2TlHCl6 at the PBE level of DFT.

Results
energy above the most stable polymorph in this dataset = 0 meV per atom

Cell lengths 8.1379, 8.1379, 9.8856 Å; angles 90.00, 90.00, 90.00 degrees
Closest atoms and distances in Å follow each position.
Space group I4mm (No. 107)
One atom of each set of equivalent atoms:
1 Cs 0.0000 0.5000 0.0000  12 Cl 3.75-4.15
2 Tl 0.0000 0.0000 0.2901  5 Cl 2.55-2.57
3 H 0.0000 0.0000 0.7853  1 Cl 1.30
4 Cl 0.0000 0.0000 0.5483  1 H 2.34, 1 Tl 2.55
5 Cl 0.0000 0.0000 0.9173  1 H 1.30
6 Cl 0.2190 0.2190 0.2412  1 Tl 2.57


Computed, not measured: a relaxed structure of Tm8Ga3SiTe4 at the PBE level of DFT.

Results
raw formation energy = -0.91 eV/atom

Cell lengths 14.1600, 8.1844, 8.6963 Å; angles 90.00, 122.84, 90.00 degrees
Closest atoms and distances in Å follow each position.
Space group C2/m (No. 12)
One atom of each set of equivalent atoms:
1 Tm 0.0070 0.2479 0.2734  1 Si 2.87, 2 Ga 2.89, 3 Te 3.08-3.11
2 Tm 0.2408 0.0000 0.7266  1 Si 2.87, 2 Ga 2.89, 3 Te 3.09-3.11
3 Tm 0.2441 0.5000 0.7324  3 Ga 2.91, 3 Te 3.07
4 Ga 0.0000 0.5000 0.5000  6 Tm 2.89-2.91
5 Ga 0.2500 0.2500 0.5000  6 Tm 2.89-2.91
6 Si 0.0000 0.0000 0.5000  6 Tm 2.87
7 Te 0.0000 0.0000 0.0000  6 Tm 3.07-3.09
8 Te 0.0000 0.5000 0.0000  6 Tm 3.11
9 Te 0.2500 0.2500 0.0000  6 Tm 3.07-3.09


Computed, not measured: a relaxed structure of PaAgPd2 at the PBE level of DFT.

Results
energy above the most stable polymorph in this dataset = 22 meV per atom
formation energy = -0.36 eV per atom

Cell lengths 3.3871, 3.3871, 6.6365 Å; angles 90.00, 90.00, 90.00 degrees
Closest atoms and distances in Å follow each position.
Space group P4/mmm (No. 123)
One atom of each set of equivalent atoms:
1 Pa 0.0000 0.0000 0.0000  8 Pd 2.97, 2 Ag 3.32
2 Ag 0.0000 0.0000 0.5000  8 Pd 2.86
3 Pd 0.5000 0.5000 0.2657  4 Ag 2.86, 4 Pa 2.97, 1 Pd 3.11